[1]
# Pm2Si3Ni4Ge (PBE-GGA, optimized geometry)
# Fermi-level density of states	0.58	states/eV per atom
# energy relative to the elements, uncorrected	-7.80	eV per formula unit
# magnetization	0.000	μB/atom
data_Pm2Si3Ni4Ge
_cell_length_a 4.0676
_cell_length_b 4.0676
_cell_length_c 9.5604
_cell_angle_alpha 90.00
_cell_angle_beta 90.00
_cell_angle_gamma 90.00
_symmetry_space_group_name_H-M 'P -4 m 2'
_symmetry_Int_Tables_number 115
loop_
_symmetry_equiv_pos_as_xyz
'x,y,z'
'y,-x,-z'
'-x,-y,z'
'-y,x,-z'
'-x,y,z'
'-y,-x,-z'
'x,-y,z'
'y,x,-z'
loop_
_atom_site_label
_atom_site_fract_x
_atom_site_fract_y
_atom_site_fract_z
_atom_site_occupancy
Pm1 0.0000 0.5000 0.2480 1
Si1 0.0000 0.5000 0.8755 1
Si2 0.5000 0.5000 0.5000 1
Ni1 0.0000 0.0000 0.0000 1
Ni2 0.0000 0.5000 0.6286 1
Ni3 0.5000 0.5000 0.0000 1
Ge1 0.0000 0.0000 0.5000 1

***

[2]
# Cs2Cd6Sb3 (PBE-GGA, optimized geometry)
# Fermi-level density of states	0.51	states/eV per atom
# energy relative to the elements, uncorrected	-1.80	eV per formula unit
# magnetization	0.000	μB/atom
data_Cs2Cd6Sb3
_cell_length_a 9.1607
_cell_length_b 9.1607
_cell_length_c 4.9259
_cell_angle_alpha 90.00
_cell_angle_beta 90.00
_cell_angle_gamma 120.00
_symmetry_space_group_name_H-M 'P -6 2 m'
_symmetry_Int_Tables_number 189
_symmetry_space_group_name_Hall 'P -6 -2'
loop_
_atom_site_label
_atom_site_fract_x
_atom_site_fract_y
_atom_site_fract_z
_atom_site_occupancy
Cs1 0.3333 0.6667 0.0000 1
Cd1 0.0000 0.2934 0.5000 1
Cd2 0.0000 0.8176 0.0000 1
Sb1 0.0000 0.6408 0.5000 1